The following is a PBE calculation of LiOs2Rh after structural relaxation, from Alexandria via LeMat-Bulk.

Cell lengths 5.067, 5.067, 5.067 Å; angles 147.15, 129.61, 61.47 degrees
Fractional positions:
Li 0.250 0.750 0.500
Os 0.011 0.011 0.000
Os 0.489 0.489 0.000
Rh 0.750 0.250 0.500

Summary:
The calculation puts the density of states at the Fermi level at 3.01 states/eV/cell. For the offset from the most stable computed form, the calculation gives 0.112 eV/atom.